An optimized crystal structure of Mg2Si2Ru. Source: Alexandria via LeMat-Bulk, functional PBE-GGA.

Summary:
The volume comes out at 16.2 A^3/atom. For the total energy, the calculation gives -4.95 eV/atom. The space group is P4/mbm, No. 127. The value obtained for the density of states at the Fermi level is 0.445 states/eV per atom. The formation energy (no corrections) comes out at -1.435 eV per formula unit.

Unit cell a=6.3344 b=6.3344 c=4.0411 alpha=90.00 beta=90.00 gamma=90.00
Positions (direct):
Si1 0.1324 0.3676 0.0000
Si2 0.3676 0.8676 0.0000
Si3 0.8676 0.6324 0.0000
Mg1 0.6766 0.8234 0.5000
Mg2 0.3234 0.1766 0.5000
Mg3 0.8234 0.3234 0.5000
Ru1 0.5000 0.5000 0.0000
Si4 0.6324 0.1324 0.0000
Mg4 0.1766 0.6766 0.5000
Ru2 0.0000 0.0000 0.0000

---

An optimized crystal structure of CsBi2Pt2. Source: Alexandria via LeMat-Bulk, functional PBE-GGA.

Summary:
The volume comes out at 28.5 A^3/atom. For the total energy, the calculation gives -4.32 eV/atom. The space group is I4/mmm, No. 139. The value obtained for the density of states at the Fermi level is 0.847 states/eV per atom. The formation energy is -0.1775 eV/atom.

Unit cell a=5.1180 b=5.1180 c=6.5359 alpha=66.95 beta=66.95 gamma=90.00
Positions (direct):
Bi1 0.7500 0.2500 0.5000
Cs1 0.0000 0.0000 0.0000
Pt1 0.3672 0.3672 0.2657
Pt2 0.6328 0.6328 0.7343
Bi2 0.2500 0.7500 0.5000

---

An optimized crystal structure of Sc3Si2Ni9. Source: Alexandria via LeMat-Bulk, functional PBE-GGA.

Summary:
The volume comes out at 13.3 A^3/atom. For the total energy, the calculation gives -6.30 eV/atom. The space group is Immm, No. 71. The value obtained for the density of states at the Fermi level is 0.640 states/eV per atom. The formation energy (no corrections) comes out at -6.374 eV per formula unit.

Unit cell a=3.6120 b=7.4077 c=7.4077 alpha=82.12 beta=75.89 gamma=75.89
Positions (direct):
Ni1 0.1465 0.1486 0.5583
Ni2 0.0000 0.5000 0.5000
Ni3 0.3654 0.0085 0.2608
Sc1 0.7069 0.2931 0.2931
Si1 0.5000 0.3163 0.6837
Ni4 0.6346 0.9915 0.7392
Ni5 0.6346 0.7392 0.9915
Ni6 0.8535 0.4417 0.8514
Ni7 0.1465 0.5583 0.1486
Ni8 0.3654 0.2608 0.0085
Sc2 0.2931 0.7069 0.7069
Ni9 0.8535 0.8514 0.4417
Sc3 0.0000 0.0000 0.0000
Si2 0.5000 0.6837 0.3163